(1)
A plane-wave DFT calculation with PBE-GGA was carried out for crystalline SnCN3 at its relaxed geometry.

Cell and atoms, written as extended XYZ:
```
5
Lattice="3.489 0.000 0.000 0.000 3.489 0.000 0.000 0.000 3.489" Properties=species:S:1:pos:R:3 pbc="T T T"
C 0.000 0.000 0.000
N 1.745 0.000 0.000
N 0.000 0.000 1.745
N 0.000 1.745 0.000
Sn 1.745 1.745 1.745
```

Computed properties:
Its total energy is -27.10 eV per cell. As for the volume: 8.50 A^3/atom. As for the raw formation energy: 11.10 eV per formula unit. Its space group is No. 221.



(2)
A plane-wave DFT calculation with PBE-GGA was carried out for crystalline Tl2FeSe at its relaxed geometry.

Cell and atoms, written as extended XYZ:
```
4
Lattice="-0.932 -5.291 7.901 1.985 -3.629 8.613 -1.039 -2.138 9.254" Properties=species:S:1:pos:R:3 pbc="T T T"
Tl 0.000 -0.009 0.020
Tl 0.003 -2.566 5.980
Fe 0.007 -5.412 12.612
Se 0.011 -8.599 20.039
```

Computed properties:
Its total energy is -16.33 eV per cell. As for the volume: 23.84 A^3/atom. The value obtained for the excess energy over the best structure of this formula in the dataset is 0 meV/atom. As for the raw formation energy: 0.35 eV per formula unit. Its space group is No. 160.



(3)
A plane-wave DFT calculation with PBE-GGA was carried out for crystalline AcCdP2Pd2 at its relaxed geometry.

Cell and atoms, written as extended XYZ:
```
6
Lattice="4.212 0.000 0.000 -2.106 3.648 0.000 0.000 0.000 7.860" Properties=species:S:1:pos:R:3 pbc="T T T"
Cd 0.000 0.000 3.930
Ac 0.000 0.000 0.000
P 2.106 1.216 1.986
P 0.000 2.432 5.875
Pd 0.000 2.432 2.364
Pd 2.106 1.216 5.496
```

Computed properties:
Its total energy is -30.64 eV per cell. As for the volume: 20.13 A^3/atom. For the formation enthalpy at 0 K, the calculation gives -734 meV per atom. Its space group is No. 164.



(4)
A plane-wave DFT calculation with PBE-GGA was carried out for crystalline Ba2MgCl at its relaxed geometry.

Cell and atoms, written as extended XYZ:
```
4
Lattice="-4.458 0.812 1.846 1.649 -1.111 4.470 1.683 6.806 1.071" Properties=species:S:1:pos:R:3 pbc="T T T"
Mg 0.063 5.786 4.093
Ba 1.487 6.012 0.946
Ba -0.773 2.402 3.560
Cl 0.622 2.515 0.396
```

Computed properties:
Its total energy is -10.40 eV per cell. As for the volume: 42.44 A^3/atom. The value obtained for the excess energy over the best structure of this formula in the dataset is 108 meV/atom. As for the raw formation energy: -3.11 eV per formula unit. Its space group is No. 99.



Q: Which value of total energy does entry 2 give?
A: -16.33 eV per cell



Q: Which of these has the lowest total energy?
A: AcCdP2Pd2



Q: Number 4 is which compound?
A: Ba2MgCl